! La3Pm2Sm2 (PBE, relaxed); values from VASP
&SYSTEM
  ibrav = 0, nat = 7, ntyp = 3
/
ATOMIC_SPECIES
La 138.91 La.upf
Pm 145.00 Pm.upf
Sm 150.36 Sm.upf
CELL_PARAMETERS angstrom
-1.5724 1.4027 2.9524
-6.3642 -10.5925 -5.0431
2.0888 -4.3241 3.1666
ATOMIC_POSITIONS crystal
La 0.0000 0.0000 0.0000
La 0.6593 0.4394 0.2803
La 0.3407 0.5606 0.7197
Pm 0.7324 0.1543 0.4229
Pm 0.2676 0.8457 0.5771
Sm 0.4327 0.2875 0.8565
Sm 0.5673 0.7125 0.1435
! - formation energy (eV per formula unit) = 0.28
! - total moment (μB per formula unit) = 0.0

=====

! NaAc2Si2 (PBE, relaxed); values from VASP
&SYSTEM
  ibrav = 0, nat = 10, ntyp = 3
/
ATOMIC_SPECIES
Na 22.99 Na.upf
Ac 227.00 Ac.upf
Si 28.09 Si.upf
CELL_PARAMETERS angstrom
4.4583 0.0000 0.0000
0.0000 8.1430 0.0000
0.0000 0.0000 8.1430
ATOMIC_POSITIONS crystal
Na 0.0000 0.0000 0.0000
Na 0.0000 0.5000 0.5000
Ac 0.5000 0.1842 0.6842
Ac 0.5000 0.6842 0.8158
Ac 0.5000 0.8158 0.3158
Ac 0.5000 0.3158 0.1842
Si 0.0000 0.3951 0.8951
Si 0.0000 0.8951 0.6049
Si 0.0000 0.6049 0.1049
Si 0.0000 0.1049 0.3951
! - formation energy (no corrections) (eV per atom) = -0.430
! - total moment (μB per formula unit) = 0.0

=====

! CrFe3 (PBE, relaxed); values from VASP
&SYSTEM
  ibrav = 0, nat = 8, ntyp = 2
/
ATOMIC_SPECIES
Cr 52.00 Cr.upf
Fe 55.84 Fe.upf
CELL_PARAMETERS angstrom
4.5316 0.0000 0.0000
0.0000 4.5316 0.0000
0.0000 0.0000 4.5316
ATOMIC_POSITIONS crystal
Cr 0.0000 0.0000 0.0000
Cr 0.5000 0.5000 0.5000
Fe 0.0000 0.2500 0.5000
Fe 0.0000 0.7500 0.5000
Fe 0.2500 0.5000 0.0000
Fe 0.5000 0.0000 0.2500
Fe 0.5000 0.0000 0.7500
Fe 0.7500 0.5000 0.0000
! - formation energy (eV per formula unit) = 0.14
! - total moment (μB per formula unit) = 5.4

=====

! AcTc2O8F (PBE, relaxed); values from VASP
&SYSTEM
  ibrav = 0, nat = 12, ntyp = 4
/
ATOMIC_SPECIES
Ac 227.00 Ac.upf
Tc 98.00 Tc.upf
O 16.00 O.upf
F 19.00 F.upf
CELL_PARAMETERS angstrom
7.5471 0.0000 0.0000
3.7735 6.0213 0.2291
3.7735 3.1367 4.1759
ATOMIC_POSITIONS crystal
Ac 0.0000 0.0000 0.0000
Tc 0.3087 0.3941 0.9885
Tc 0.6913 0.6059 0.0115
O 0.8574 0.6413 0.6440
O 0.7397 0.2305 0.2902
O 0.1426 0.3587 0.3560
O 0.2603 0.7695 0.7098
O 0.5728 0.2220 0.0228
O 0.4272 0.7780 0.9772
O 0.1824 0.2220 0.0228
O 0.8176 0.7780 0.9772
F 0.5000 0.5000 0.5000
! - formation energy (no corrections) (eV per atom) = -1.904
! - total moment (μB per formula unit) = 0.1

=====

! CeDy7Er12 (PBE, relaxed); values from VASP
&SYSTEM
  ibrav = 0, nat = 20, ntyp = 3
/
ATOMIC_SPECIES
Ce 140.12 Ce.upf
Dy 162.50 Dy.upf
Er 167.26 Er.upf
CELL_PARAMETERS angstrom
-5.0903 -6.8566 -1.0155
5.7086 -4.7956 4.2860
-3.9879 1.9469 7.3662
ATOMIC_POSITIONS crystal
Ce 0.0000 0.0000 0.0000
Dy 0.9685 0.6728 0.0629
Dy 0.3272 0.9371 0.0315
Dy 0.9371 0.0315 0.3272
Dy 0.5000 0.5000 0.5000
Dy 0.0629 0.9685 0.6728
Dy 0.6728 0.0629 0.9685
Dy 0.0315 0.3272 0.9371
Er 0.7740 0.2320 0.6262
Er 0.7680 0.3738 0.2260
Er 0.4583 0.1257 0.3498
Er 0.8743 0.6502 0.5417
Er 0.3738 0.2260 0.7680
Er 0.6502 0.5417 0.8743
Er 0.3498 0.4583 0.1257
Er 0.6262 0.7740 0.2320
Er 0.1257 0.3498 0.4583
Er 0.5417 0.8743 0.6502
Er 0.2320 0.6262 0.7740
Er 0.2260 0.7680 0.3738
! - formation energy (eV per formula unit) = 5.08
! - total moment (μB per formula unit) = 0.0

=====

! Re2AsI (PBE, relaxed); values from VASP
&SYSTEM
  ibrav = 0, nat = 4, ntyp = 3
/
ATOMIC_SPECIES
I 126.90 I.upf
Re 186.21 Re.upf
As 74.92 As.upf
CELL_PARAMETERS angstrom
-2.5287 -3.6519 -0.9804
-0.3665 -3.3881 3.0130
-3.9341 -0.6931 2.1759
ATOMIC_POSITIONS crystal
I 0.5000 0.5000 0.5000
Re 0.2500 0.2500 0.2500
Re 0.7500 0.7500 0.7500
As 0.0000 0.0000 0.0000
! - formation energy (no corrections) (eV per atom) = 1.101
! - total moment (μB per formula unit) = 0.0

=====

! Ba2SrAl (PBE, relaxed); values from VASP
&SYSTEM
  ibrav = 0, nat = 4, ntyp = 3
/
ATOMIC_SPECIES
Sr 87.62 Sr.upf
Ba 137.33 Ba.upf
Al 26.98 Al.upf
CELL_PARAMETERS angstrom
-3.1302 3.1764 -2.6676
-3.6336 -2.5534 1.2233
-2.8115 3.3401 7.2763
ATOMIC_POSITIONS crystal
Sr 0.0000 0.6734 0.5297
Ba 0.0000 0.9710 0.9328
Ba 0.5000 0.3198 0.2371
Al 0.5000 0.5359 0.8005
! - formation energy (eV per formula unit) = 0.35
! - total moment (μB per formula unit) = 0.0

=====

! Hf4H (PBE, relaxed); values from VASP
&SYSTEM
  ibrav = 0, nat = 5, ntyp = 2
/
ATOMIC_SPECIES
H 1.01 H.upf
Hf 178.49 Hf.upf
CELL_PARAMETERS angstrom
-1.0333 -2.9924 3.1903
1.1757 -3.3475 -2.7590
4.2131 0.2002 1.5524
ATOMIC_POSITIONS crystal
H 0.5000 0.5000 0.5000
Hf 0.0000 0.0000 0.0000
Hf 0.5000 0.0000 0.5000
Hf 0.0000 0.5000 0.5000
Hf 0.5000 0.5000 0.0000
! - energy (eV/atom) = -8.680
! - total moment (μB per formula unit) = 0.0